[1]
VASP calculation (SCAN) on a PBEsol-optimized structure of TaZnHg3.

Output
The value obtained for the formation energy is 578 kJ/mol of formula units.

Structure (POSCAR):
```
TaZnHg3
1.0
-2.888 1.517 3.512
-2.673 -3.948 -0.493
2.736 -2.255 3.224
Ta Hg Zn
1 3 1
Direct
0.500 0.500 0.500
0.000 0.000 0.500
0.000 0.500 0.000
0.500 0.000 0.000
0.000 0.000 0.000
```

[2]
VASP calculation (SCAN) on a PBEsol-optimized structure of TaZn4Hg.

Output
The value obtained for the formation energy is 179 kJ/mol of formula units.

Structure (POSCAR):
```
TaZn4Hg
1.0
5.070 0.000 0.000
2.535 4.391 0.000
2.535 1.464 4.140
Zn Hg Ta
4 1 1
Direct
0.373 0.880 0.373
0.880 0.373 0.373
0.373 0.373 0.373
0.373 0.373 0.880
0.750 0.750 0.750
0.000 0.000 0.000
```

[3]
VASP calculation (SCAN) on a PBEsol-optimized structure of TaZn2Hg.

Output
The value obtained for the formation energy is 197 kJ/mol of formula units.

Structure (POSCAR):
```
TaZn2Hg
1.0
4.554 0.000 0.000
2.277 3.944 0.000
2.277 1.315 3.718
Hg Ta Zn
1 1 2
Direct
0.500 0.500 0.500
0.250 0.250 0.250
0.750 0.750 0.750
0.000 0.000 0.000
```

[4]
VASP calculation (SCAN) on a PBEsol-optimized structure of ZrTaHg2.

Output
The value obtained for the formation energy is 42 kJ/mol of formula units.

Structure (POSCAR):
```
ZrTaHg2
1.0
-2.490 -0.158 -1.716
-0.619 -4.853 1.345
-2.821 1.457 3.958
Ta Zr Hg
1 1 2
Direct
0.500 0.500 0.500
0.500 0.000 0.000
0.000 0.000 0.500
0.000 0.500 0.000
```

[5]
VASP calculation (SCAN) on a PBEsol-optimized structure of ZrTa3Hg.

Output
The value obtained for the formation energy is 900 kJ/mol of formula units.

Structure (POSCAR):
```
ZrTa3Hg
1.0
-1.414 -4.467 -1.619
1.202 -1.971 4.387
-4.597 0.859 1.645
Ta Hg Zr
3 1 1
Direct
0.000 0.000 0.500
0.500 0.000 0.000
0.000 0.500 0.000
0.000 0.000 0.000
0.500 0.500 0.500
```

[6]
VASP calculation (SCAN) on a PBEsol-optimized structure of ZrTaHg2.

Output
The value obtained for the formation energy is 27 kJ/mol of formula units.

Structure (POSCAR):
```
ZrTaHg2
1.0
-2.463 1.415 -1.130
-3.050 -2.722 3.238
3.338 4.290 2.230
Hg Ta Zr
2 1 1
Direct
0.001 0.934 0.003
0.753 0.325 0.507
0.501 0.432 0.001
0.244 0.808 0.489
```

[7]
VASP calculation (SCAN) on a PBEsol-optimized structure of Tb2TlHg.

Output
The value obtained for the formation energy is -242 kJ/mol of formula units.

Structure (POSCAR):
```
Tb2TlHg
1.0
5.234 0.000 0.000
2.617 4.533 0.000
2.617 1.511 4.274
Hg Tb Tl
1 2 1
Direct
0.000 0.000 0.000
0.750 0.750 0.750
0.250 0.250 0.250
0.500 0.500 0.500
```

[8]
VASP calculation (SCAN) on a PBEsol-optimized structure of TbYHg2.

Output
The value obtained for the formation energy is -286 kJ/mol of formula units.

Structure (POSCAR):
```
TbYHg2
1.0
5.182 0.000 0.000
2.591 4.488 0.000
2.591 1.496 4.231
Hg Tb Y
2 1 1
Direct
0.250 0.250 0.250
0.750 0.750 0.750
0.500 0.500 0.500
0.000 0.000 0.000
```